# 1
VASP calculation (PBE-GGA) on a relaxed TaNb2NiH crystal.

Properties
- symmetry = No. 123
- mass density (g/cm3) = 10.3
- calculated total energy (eV/cell) = -41.08
- spin magnetization (μB/f.u.) = 0.00

Cell lengths 3.989, 3.989, 4.330 Å; angles 90.00, 90.00, 90.00 degrees
Atoms (fractional coordinates):
Ta (0.000, 0.000, 0.500)
Nb (0.000, 0.500, 0.000)
H (0.000, 0.000, 0.000)
Ni (0.500, 0.500, 0.500)
Nb (0.500, 0.000, 0.000)

=====

# 2
VASP calculation (PBE-GGA) on a relaxed Sm2MgRh crystal.

Properties
- formation energy from the elements (meV per atom) = -411
- symmetry = No. 123
- mass density (g/cm3) = 7.0
- spin magnetization (μB/f.u.) = 0.00

Cell lengths 3.605, 3.605, 7.783 Å; angles 90.00, 90.00, 90.00 degrees
Atoms (fractional coordinates):
Sm (0.000, 0.000, 0.788)
Rh (0.500, 0.500, 0.000)
Mg (0.500, 0.500, 0.500)
Sm (0.000, 0.000, 0.212)

=====

# 3
VASP calculation (PBE-GGA) on a relaxed PmNi2H8Rh crystal.

Properties
- symmetry = No. 148
- mass density (g/cm3) = 6.4
- calculated total energy (eV/cell) = -53.03
- spin magnetization (μB/f.u.) = 0.00

Cell lengths 4.587, 4.587, 5.912 Å; angles 67.18, 67.18, 60.00 degrees
Atoms (fractional coordinates):
H (0.083, 0.368, 0.854)
H (0.810, 0.810, 0.570)
H (0.695, 0.083, 0.854)
H (0.305, 0.917, 0.146)
Pm (0.500, 0.500, 0.500)
H (0.368, 0.695, 0.854)
Ni (0.289, 0.289, 0.133)
H (0.917, 0.632, 0.146)
Ni (0.711, 0.711, 0.867)
H (0.632, 0.305, 0.146)
Rh (0.000, 0.000, 0.000)
H (0.190, 0.190, 0.430)

=====

# 4
VASP calculation (PBE-GGA) on a relaxed NaLaNdEr crystal.

Properties
- formation energy from the elements (meV per atom) = 252
- symmetry = No. 216
- mass density (g/cm3) = 5.8
- spin magnetization (μB/f.u.) = 0.00

Cell lengths 5.779, 5.779, 5.779 Å; angles 60.00, 60.00, 60.00 degrees
Atoms (fractional coordinates):
Na (0.000, 0.000, 0.000)
Nd (0.250, 0.250, 0.250)
Er (0.500, 0.500, 0.500)
La (0.750, 0.750, 0.750)

=====

# 5
VASP calculation (PBE-GGA) on a relaxed MnTe2Ru crystal.

Properties
- symmetry = No. 119
- mass density (g/cm3) = 8.7
- spin magnetization (μB/f.u.) = 3.27
- uncorrected formation energy (eV per atom) = 0.47

Cell lengths 5.708, 5.708, 5.708 Å; angles 139.32, 139.32, 58.89 degrees
Site moments in Bohr magnetons follow the coordinates.
Atoms (fractional coordinates):
Ru (0.750, 0.250, 0.500)  -0.29
Te (0.250, 0.750, 0.500)  -0.05
Te (0.000, 0.000, 0.000)  -0.07
Mn (0.500, 0.500, 0.000)  3.59

=====

# 6
VASP calculation (PBE-GGA) on a relaxed Pu2TaNi3Ge4 crystal.

Properties
- formation energy from the elements (meV per atom) = -428
- symmetry = No. 115
- mass density (g/cm3) = 10.9
- spin magnetization (μB/f.u.) = 10.53

Cell lengths 4.084, 4.084, 10.356 Å; angles 90.00, 90.00, 90.00 degrees
Site moments in Bohr magnetons follow the coordinates.
Atoms (fractional coordinates):
Ni (0.000, 0.000, 0.500)  0.01
Ge (0.000, 0.500, 0.346)  -0.04
Pu (0.000, 0.500, 0.763)  5.13
Pu (0.500, 0.000, 0.237)  5.13
Ge (0.500, 0.500, 0.000)  -0.03
Ge (0.000, 0.000, 0.000)  -0.03
Ni (0.500, 0.000, 0.881)  -0.03
Ta (0.500, 0.500, 0.500)  0.01
Ge (0.500, 0.000, 0.654)  -0.04
Ni (0.000, 0.500, 0.119)  -0.03

=====

# 7
VASP calculation (PBE-GGA) on a relaxed Y2Tl2Sb crystal.

Properties
- symmetry = No. 127
- mass density (g/cm3) = 8.3
- spin magnetization (μB/f.u.) = 0.00
- uncorrected formation energy (eV per atom) = -0.34

Cell lengths 8.014, 8.014, 4.421 Å; angles 90.00, 90.00, 90.00 degrees
Atoms (fractional coordinates):
Y (0.829, 0.329, 0.500)
Sb (0.500, 0.500, 0.000)
Y (0.329, 0.171, 0.500)
Tl (0.132, 0.368, 0.000)
Sb (0.000, 0.000, 0.000)
Y (0.171, 0.671, 0.500)
Tl (0.868, 0.632, 0.000)
Y (0.671, 0.829, 0.500)
Tl (0.368, 0.868, 0.000)
Tl (0.632, 0.132, 0.000)

=====

# 8
VASP calculation (PBE-GGA) on a relaxed Sr2CF crystal.

Properties
- symmetry = No. 225
- mass density (g/cm3) = 4.6
- spin magnetization (μB/f.u.) = 1.00
- uncorrected formation energy (eV per atom) = -0.69

Cell lengths 4.722, 4.722, 4.722 Å; angles 60.00, 60.00, 60.00 degrees
Site moments in Bohr magnetons follow the coordinates.
Atoms (fractional coordinates):
Sr (0.250, 0.250, 0.250)  0.03
C (0.000, 0.000, 0.000)  0.39
Sr (0.750, 0.750, 0.750)  0.03
F (0.500, 0.500, 0.500)  0.01

=====

# 9
VASP calculation (PBE-GGA) on a relaxed Si3HgBr12 crystal.

Properties
- symmetry = No. 161
- mass density (g/cm3) = 2.4
- spin magnetization (μB/f.u.) = 0.00
- uncorrected formation energy (eV per atom) = -0.74

Cell lengths 13.367, 13.367, 13.672 Å; angles 60.74, 60.74, 60.00 degrees
Atoms (fractional coordinates):
Si (0.141, 0.500, 0.495)
Si (0.000, 0.641, 0.995)
Br (0.658, 0.419, 0.114)
Hg (0.539, 0.539, 0.383)
Br (0.093, 0.670, 0.072)
Br (0.166, 0.093, 0.072)
Br (0.099, 0.456, 0.978)
Br (0.593, 0.666, 0.572)
Br (0.956, 0.599, 0.478)
Br (0.599, 0.968, 0.478)
Br (0.780, 0.403, 0.819)
Br (0.468, 0.099, 0.978)
Si (0.641, 0.364, 0.995)
Br (0.666, 0.170, 0.572)
Br (0.999, 0.780, 0.819)
Br (0.419, 0.810, 0.114)
Hg (0.039, 0.039, 0.883)
Br (0.670, 0.166, 0.072)
Br (0.403, 0.999, 0.819)
Si (0.500, 0.864, 0.495)
Br (0.903, 0.280, 0.319)
Br (0.499, 0.903, 0.319)
Br (0.158, 0.310, 0.614)
Br (0.310, 0.919, 0.614)
Br (0.170, 0.593, 0.572)
Br (0.919, 0.158, 0.614)
Si (0.864, 0.141, 0.495)
Si (0.364, 0.000, 0.995)
Br (0.810, 0.658, 0.114)
Br (0.280, 0.499, 0.319)
Br (0.968, 0.956, 0.478)
Br (0.456, 0.468, 0.978)

=====

# 10
VASP calculation (PBE-GGA) on a relaxed CdTeSe crystal.

Properties
- symmetry = No. 12
- mass density (g/cm3) = 5.9
- spin magnetization (μB/f.u.) = 0.00
- uncorrected formation energy (eV per atom) = -0.28

Cell lengths 4.889, 7.743, 10.677 Å; angles 90.00, 116.56, 90.00 degrees
Atoms (fractional coordinates):
Se (0.749, 0.000, 0.396)
Se (0.251, 0.500, 0.104)
Se (0.749, 0.500, 0.896)
Cd (0.500, 0.257, 0.000)
Cd (0.500, 0.757, 0.500)
Te (0.028, 0.000, 0.872)
Te (0.972, 0.500, 0.628)
Se (0.251, 0.000, 0.604)
Te (0.972, 0.000, 0.128)
Cd (0.500, 0.243, 0.500)
Te (0.028, 0.500, 0.372)
Cd (0.500, 0.743, 0.000)

=====

# 11
VASP calculation (PBE-GGA) on a relaxed MgTaNbNi2 crystal.

Properties
- formation energy from the elements (meV per atom) = 1061
- symmetry = No. 123
- mass density (g/cm3) = 6.7
- spin magnetization (μB/f.u.) = 0.00

Cell lengths 4.645, 4.806, 4.645 Å; angles 90.00, 90.00, 90.00 degrees
Atoms (fractional coordinates):
Ni (0.000, 0.000, 0.500)
Mg (0.500, 0.500, 0.500)
Ta (0.000, 0.000, 0.000)
Ni (0.500, 0.000, 0.000)
Nb (0.000, 0.500, 0.000)

=====

# 12
VASP calculation (PBE-GGA) on a relaxed AlMoBr2 crystal.

Properties
- symmetry = No. 216
- mass density (g/cm3) = 4.9
- spin magnetization (μB/f.u.) = 4.84
- uncorrected formation energy (eV per atom) = 0.83

Cell lengths 5.134, 5.134, 5.134 Å; angles 60.00, 60.00, 60.00 degrees
Site moments in Bohr magnetons follow the coordinates.
Atoms (fractional coordinates):
Al (0.500, 0.500, 0.500)  0.04
Br (0.000, 0.000, 0.000)  0.06
Mo (0.250, 0.250, 0.250)  3.50
Br (0.750, 0.750, 0.750)  0.15

=====

# 13
VASP calculation (PBE-GGA) on a relaxed K2SrCu2 crystal.

Properties
- formation energy from the elements (meV per atom) = 278
- symmetry = No. 139
- mass density (g/cm3) = 2.9
- spin magnetization (μB/f.u.) = 0.00

Cell lengths 4.790, 4.790, 8.066 Å; angles 72.73, 72.73, 90.00 degrees
Atoms (fractional coordinates):
Cu (0.420, 0.420, 0.161)
K (0.250, 0.750, 0.500)
K (0.750, 0.250, 0.500)
Sr (0.000, 0.000, 0.000)
Cu (0.580, 0.580, 0.839)

=====

# 14
VASP calculation (PBE-GGA) on a relaxed PmTl6Pd12 crystal.

Properties
- formation energy from the elements (meV per atom) = -143
- symmetry = No. 166
- mass density (g/cm3) = 11.4
- spin magnetization (μB/f.u.) = 0.00

Cell lengths 7.645, 7.645, 7.645 Å; angles 105.41, 105.41, 105.41 degrees
Atoms (fractional coordinates):
Pm (0.000, 0.000, 0.000)
Pd (0.352, 0.114, 0.352)
Pd (0.113, 0.500, 0.887)
Pd (0.887, 0.500, 0.113)
Pd (0.114, 0.352, 0.352)
Tl (0.714, 0.301, 0.714)
Tl (0.286, 0.286, 0.699)
Pd (0.648, 0.648, 0.886)
Tl (0.286, 0.699, 0.286)
Pd (0.500, 0.113, 0.887)
Pd (0.113, 0.887, 0.500)
Pd (0.352, 0.352, 0.114)
Pd (0.887, 0.113, 0.500)
Pd (0.648, 0.886, 0.648)
Pd (0.500, 0.887, 0.113)
Tl (0.714, 0.714, 0.301)
Tl (0.301, 0.714, 0.714)
Tl (0.699, 0.286, 0.286)
Pd (0.886, 0.648, 0.648)

=====

# 15
VASP calculation (PBE-GGA) on a relaxed BaCr2Rh2 crystal.

Properties
- formation energy from the elements (meV per atom) = 406
- symmetry = No. 127
- mass density (g/cm3) = 8.4
- spin magnetization (μB/f.u.) = 0.00

Cell lengths 7.821, 7.821, 2.879 Å; angles 90.00, 90.00, 90.00 degrees
Atoms (fractional coordinates):
Cr (0.596, 0.096, 0.000)
Cr (0.904, 0.596, 0.000)
Cr (0.404, 0.904, 0.000)
Rh (0.828, 0.328, 0.500)
Ba (0.000, 0.000, 0.000)
Rh (0.172, 0.672, 0.500)
Cr (0.096, 0.404, 0.000)
Ba (0.500, 0.500, 0.000)
Rh (0.328, 0.172, 0.500)
Rh (0.672, 0.828, 0.500)

=====

# 16
VASP calculation (PBE-GGA) on a relaxed TbEuInGe crystal.

Properties
- formation energy from the elements (meV per atom) = -467
- symmetry = No. 216
- mass density (g/cm3) = 7.8
- spin magnetization (μB/f.u.) = 7.07

Cell lengths 5.304, 5.304, 5.304 Å; angles 60.00, 60.00, 60.00 degrees
Site moments in Bohr magnetons follow the coordinates.
Atoms (fractional coordinates):
Ge (0.250, 0.250, 0.250)  -0.03
In (0.750, 0.750, 0.750)  0.00
Eu (0.000, 0.000, 0.000)  6.79
Tb (0.500, 0.500, 0.500)  0.07

=====

# 17
VASP calculation (PBE-GGA) on a relaxed Zn3BBr crystal.

Properties
- symmetry = No. 221
- mass density (g/cm3) = 3.3
- spin magnetization (μB/f.u.) = 0.00
- uncorrected formation energy (eV per atom) = 1.59

Cell lengths 5.270, 5.270, 5.270 Å; angles 90.00, 90.00, 90.00 degrees
Atoms (fractional coordinates):
Zn (0.500, 0.000, 0.000)
Br (0.000, 0.000, 0.000)
Zn (0.000, 0.500, 0.000)
B (0.500, 0.500, 0.500)
Zn (0.000, 0.000, 0.500)

=====

# 18
VASP calculation (PBE-GGA) on a relaxed ReAs2Au crystal.

Properties
- formation energy from the elements (meV per atom) = 323
- symmetry = No. 160
- mass density (g/cm3) = 11.5
- spin magnetization (μB/f.u.) = 0.00

Cell lengths 9.977, 9.977, 9.977 Å; angles 17.30, 17.30, 17.30 degrees
Atoms (fractional coordinates):
As (0.235, 0.235, 0.235)
As (0.021, 0.021, 0.021)
Re (0.750, 0.750, 0.750)
Au (0.494, 0.494, 0.494)

=====

# 19
VASP calculation (PBE-GGA) on a relaxed Cs2BaLaBr6 crystal.

Properties
- symmetry = No. 225
- mass density (g/cm3) = 3.6
- spin magnetization (μB/f.u.) = 0.78
- uncorrected formation energy (eV per atom) = -1.82

Cell lengths 8.726, 8.726, 8.726 Å; angles 60.00, 60.00, 90.00 degrees
Site moments in Bohr magnetons follow the coordinates.
Atoms (fractional coordinates):
Br (0.242, 0.242, 0.000)  0.00
Br (0.758, 0.758, 0.000)  0.00
Cs (0.750, 0.250, 0.500)  0.00
Cs (0.250, 0.750, 0.500)  0.00
Br (0.242, 0.758, 0.000)  0.00
Br (0.242, 0.242, 0.516)  0.00
Ba (0.500, 0.500, 0.000)  0.05
La (0.000, 0.000, 0.000)  0.39
Br (0.758, 0.758, 0.484)  0.00
Br (0.758, 0.242, 0.000)  0.00

=====

# 20
VASP calculation (PBE-GGA) on a relaxed CrAg2Br crystal.

Properties
- symmetry = No. 65
- mass density (g/cm3) = 7.0
- spin magnetization (μB/f.u.) = 4.83
- uncorrected formation energy (eV per atom) = 0.29

Cell lengths 3.601, 3.601, 6.363 Å; angles 90.00, 90.00, 90.47 degrees
Site moments in Bohr magnetons follow the coordinates.
Atoms (fractional coordinates):
Br (0.500, 0.500, 0.250)  0.06
Ag (0.000, 0.000, 0.967)  0.09
Cr (0.500, 0.500, 0.750)  3.97
Ag (0.000, 0.000, 0.533)  0.09

=====

# 21
VASP calculation (PBE-GGA) on a relaxed TiBe2Tc2 crystal.

Properties
- formation energy from the elements (meV per atom) = -458
- symmetry = No. 127
- mass density (g/cm3) = 7.3
- spin magnetization (μB/f.u.) = 0.00

Cell lengths 6.125, 6.125, 3.172 Å; angles 90.00, 90.00, 90.00 degrees
Atoms (fractional coordinates):
Tc (0.824, 0.324, 0.500)
Tc (0.676, 0.824, 0.500)
Ti (0.500, 0.500, 0.000)
Tc (0.324, 0.176, 0.500)
Be (0.617, 0.117, 0.000)
Tc (0.176, 0.676, 0.500)
Be (0.117, 0.383, 0.000)
Be (0.383, 0.883, 0.000)
Ti (0.000, 0.000, 0.000)
Be (0.883, 0.617, 0.000)

=====

# 22
VASP calculation (PBE-GGA) on a relaxed BaCa5Hg4 crystal.

Properties
- formation energy from the elements (meV per atom) = -427
- symmetry = No. 123
- mass density (g/cm3) = 6.0
- spin magnetization (μB/f.u.) = 0.00

Cell lengths 3.856, 3.856, 21.283 Å; angles 90.00, 90.00, 90.00 degrees
Atoms (fractional coordinates):
Ca (0.500, 0.500, 0.674)
Ca (0.500, 0.500, 0.326)
Hg (0.000, 0.000, 0.764)
Ca (0.500, 0.500, 0.846)
Ba (0.000, 0.000, 0.000)
Hg (0.000, 0.000, 0.586)
Ca (0.500, 0.500, 0.500)
Ca (0.500, 0.500, 0.154)
Hg (0.000, 0.000, 0.236)
Hg (0.000, 0.000, 0.414)

=====

# 23
VASP calculation (PBE-GGA) on a relaxed Na2Mg2Ga crystal.

Properties
- formation energy from the elements (meV per atom) = 246
- symmetry = No. 139
- mass density (g/cm3) = 2.1
- spin magnetization (μB/f.u.) = 0.00

Cell lengths 3.995, 3.995, 8.791 Å; angles 76.87, 76.87, 90.00 degrees
Atoms (fractional coordinates):
Na (0.250, 0.750, 0.500)
Ga (0.000, 0.000, 0.000)
Mg (0.413, 0.413, 0.175)
Mg (0.587, 0.587, 0.825)
Na (0.750, 0.250, 0.500)

=====

# 24
VASP calculation (PBE-GGA) on a relaxed Li5Mg crystal.

Properties
- formation energy from the elements (meV per atom) = 1
- symmetry = No. 187
- mass density (g/cm3) = 0.8
- spin magnetization (μB/f.u.) = 0.00

Cell lengths 3.100, 3.100, 14.853 Å; angles 90.00, 90.00, 120.00 degrees
Atoms (fractional coordinates):
Li (0.667, 0.333, 0.169)
Li (0.667, 0.333, 0.831)
Mg (0.000, 0.000, 0.000)
Li (0.667, 0.333, 0.500)
Li (0.000, 0.000, 0.665)
Li (0.000, 0.000, 0.335)